# 1
This record from Alexandria describes a relaxed structure of PPt3. The functional is GGA-PBE.

Properties
energy relative to the lowest polymorph listed for this composition = 364 meV/atom
calculated total energy = -5.7683 eV per atom
N(E_F) = 1.787 states/eV/cell
ΔE_f = 115 meV per atom

a b c (Å): 5.1356 5.1356 5.1356
angles (deg): 116.78 116.78 116.78
Atoms (fractional coordinates):
Pt1 0.5000 0.0000 0.5000
Pt2 0.5000 0.5000 0.0000
Pt3 0.0000 0.5000 0.5000
P1 0.0000 0.0000 0.0000



# 2
This record from Alexandria describes a relaxed structure of Tb2CePa. The functional is GGA-PBE.

Properties
energy relative to the lowest polymorph listed for this composition = 0 meV/atom
calculated total energy = -5.9968 eV per atom
N(E_F) = 9.086 states/eV/cell
ΔE_f = 176 meV per atom

a b c (Å): 3.3504 3.3504 10.4291
angles (deg): 90.00 90.00 90.00
Atoms (fractional coordinates):
Ce1 0.5000 0.5000 0.5000
Tb1 0.0000 0.0000 0.7663
Tb2 0.0000 0.0000 0.2337
Pa1 0.5000 0.5000 0.0000



# 3
This record from Alexandria describes a relaxed structure of CsTl2Pb. The functional is GGA-PBE.

Properties
energy relative to the lowest polymorph listed for this composition = 174 meV/atom
calculated total energy = -2.2571 eV per atom
N(E_F) = 2.875 states/eV/cell
ΔE_f = 67 meV per atom

a b c (Å): 6.0289 6.0289 11.6145
angles (deg): 74.96 74.96 90.00
Atoms (fractional coordinates):
Tl1 0.9601 0.6250 0.2500
Tl2 0.8750 0.0399 0.7500
Tl3 0.7899 0.1250 0.2500
Tl4 0.3750 0.2101 0.7500
Cs1 0.2500 0.7500 0.5000
Cs2 0.5000 0.5000 0.0000
Pb1 0.0000 0.0000 0.0000
Pb2 0.7500 0.2500 0.5000



# 4
This record from Alexandria describes a relaxed structure of TcHgBrO4. The functional is GGA-PBE.

Properties
calculated total energy = -5.5953 eV per atom
energy relative to the elements, uncorrected = -999 meV/atom
N(E_F) = 0.000 states/eV/cell

a b c (Å): 7.0104 7.0104 8.3218
angles (deg): 65.06 65.06 69.40
Atoms (fractional coordinates):
O1 0.1360 0.4882 0.2706
O2 0.4451 0.4451 0.8406
O3 0.5549 0.5549 0.1594
O4 0.3481 0.3481 0.5439
O5 0.4882 0.1360 0.2706
O6 0.6519 0.6519 0.4561
O7 0.5118 0.8640 0.7294
O8 0.8640 0.5118 0.7294
Br1 0.9353 0.9353 0.8211
Br2 0.0647 0.0647 0.1789
Tc1 0.3817 0.3817 0.3093
Tc2 0.6183 0.6183 0.6907
Hg1 0.1973 0.1973 0.8330
Hg2 0.8027 0.8027 0.1670



# 5
This record from Alexandria describes a relaxed structure of MgSb2Pb2. The functional is GGA-PBE.

Properties
energy relative to the lowest polymorph listed for this composition = 308 meV/atom
calculated total energy = -3.2637 eV per atom
energy relative to the elements, uncorrected = 188 meV/atom
N(E_F) = 3.296 states/eV/cell

a b c (Å): 4.2506 4.2506 9.2428
angles (deg): 76.71 76.71 90.00
Atoms (fractional coordinates):
Sb1 0.2500 0.7500 0.5000
Sb2 0.7500 0.2500 0.5000
Pb1 0.5949 0.5949 0.8101
Pb2 0.4051 0.4051 0.1899
Mg1 0.0000 0.0000 0.0000



# 6
This record from Alexandria describes a relaxed structure of PmHoW2N6. The functional is GGA-PBE.

Properties
calculated total energy = -9.5285 eV per atom
energy relative to the elements, uncorrected = -1010 meV/atom
N(E_F) = 0.000 states/eV/cell

a b c (Å): 6.2192 7.2847 7.2847
angles (deg): 82.83 75.59 75.59
Atoms (fractional coordinates):
N1 0.8403 0.3775 0.8936
N2 0.0263 0.6535 0.6314
N3 0.1461 0.9978 0.7833
N4 0.5263 0.6314 0.6535
N5 0.6461 0.7833 0.9978
N6 0.4737 0.3686 0.3465
N7 0.3539 0.2167 0.0022
N8 0.1597 0.6225 0.1064
N9 0.8539 0.0022 0.2167
N10 0.9737 0.3465 0.3686
N11 0.3403 0.8936 0.3775
N12 0.6597 0.1064 0.6225
Ho1 0.2500 0.9124 0.0876
Ho2 0.7500 0.0876 0.9124
W1 0.7501 0.6185 0.8017
W2 0.7499 0.1983 0.3815
W3 0.2499 0.3815 0.1983
W4 0.2501 0.8017 0.6185
Pm1 0.2500 0.3029 0.6971
Pm2 0.7500 0.6971 0.3029



# 7
This record from Alexandria describes a relaxed structure of Tm4GeAu3. The functional is GGA-PBE.

Properties
calculated total energy = -4.9067 eV per atom
N(E_F) = 4.820 states/eV/cell
ΔE_f = -865 meV per atom

a b c (Å): 3.7560 4.5137 10.8816
angles (deg): 90.00 90.00 90.00
Atoms (fractional coordinates):
Au1 0.5000 0.0000 0.9133
Au2 0.0000 0.5000 0.5891
Au3 0.0000 0.0000 0.4107
Ge1 0.5000 0.5000 0.0877
Tm1 0.0000 0.0000 0.1404
Tm2 0.5000 0.0000 0.6398
Tm3 0.5000 0.5000 0.3592
Tm4 0.0000 0.5000 0.8599



# 8
This record from Alexandria describes a relaxed structure of SrTeN3. The functional is GGA-PBE.

Properties
calculated total energy = -3.7470 eV per atom
energy relative to the elements, uncorrected = 2213 meV/atom
N(E_F) = 4.084 states/eV/cell

a b c (Å): 4.7436 4.7436 4.7436
angles (deg): 90.00 90.00 90.00
Atoms (fractional coordinates):
Sr1 0.0000 0.0000 0.0000
N1 0.0000 0.5000 0.0000
N2 0.0000 0.0000 0.5000
N3 0.5000 0.0000 0.0000
Te1 0.5000 0.5000 0.5000